[1]
DFT (PBEsol) results for a relaxed SrV3O7 crystal.

a b c (Å): 5.2682 10.3424 11.1192
angles (deg): 90.00 90.00 90.00
Last column: magnetic moment on the atom in μB.
Atoms (fractional coordinates):
1 V 0.7832 0.5207 0.1911  0.99
2 O 0.5518 0.3806 0.2297  0.00
3 O 0.4482 0.6194 0.7703  0.00
4 V 0.7168 0.9793 0.6911  0.99
5 Sr 0.2019 0.2500 0.5724  0.00
6 Sr 0.7981 0.7500 0.4276  0.00
7 O 0.5218 0.6190 0.2762  0.00
8 Sr 0.2981 0.2500 0.0724  0.00
9 Sr 0.7019 0.7500 0.9276  0.00
10 V 0.2168 0.4793 0.8089  0.99
11 V 0.2094 0.7500 0.7107  0.99
12 O 0.4782 0.3810 0.7238  0.00
13 V 0.7094 0.2500 0.7893  0.99
14 O 0.5518 0.1194 0.2297  0.00
15 O 0.0218 0.1190 0.2238  0.00
16 O 0.0518 0.6194 0.2703  0.00
17 V 0.2832 0.4793 0.3089  0.99
18 O 0.9482 0.1194 0.7297  0.00
19 O 0.7680 0.5577 0.0493  -0.06
20 V 0.7832 0.9793 0.1911  0.99
21 O 0.7320 0.9423 0.5493  -0.06
22 O 0.2680 0.0577 0.4507  -0.06
23 O 0.7000 0.2500 0.9359  -0.06
24 V 0.2906 0.7500 0.2107  0.99
25 O 0.3000 0.7500 0.0641  -0.06
26 O 0.2680 0.4423 0.4507  -0.06
27 O 0.7320 0.5577 0.5493  -0.06
28 O 0.0518 0.8806 0.2703  0.00
29 O 0.2320 0.4423 0.9507  -0.06
30 O 0.5218 0.8810 0.2762  0.00
31 O 0.0218 0.3810 0.2238  0.00
32 V 0.7168 0.5207 0.6911  0.99
33 O 0.4482 0.8806 0.7703  0.00
34 O 0.7680 0.9423 0.0493  -0.06
35 O 0.8000 0.2500 0.4359  -0.06
36 O 0.9782 0.6190 0.7762  0.00
37 V 0.7906 0.2500 0.2893  0.99
38 O 0.2000 0.7500 0.5641  -0.06
39 O 0.2320 0.0577 0.9507  -0.06
40 V 0.2168 0.0207 0.8089  0.99
41 O 0.4782 0.1190 0.7238  0.00
42 V 0.2832 0.0207 0.3089  0.99
43 O 0.9782 0.8810 0.7762  0.00
44 O 0.9482 0.3806 0.7297  0.00

## Properties
As for the total energy: -8.657 eV per atom. Its calculated volume is 605.8 Å³ per cell. The calculation puts the energy relative to the elements, uncorrected at -243 kJ per mole of atoms. Its space group is Pnma.

---

[2]
DFT (PBEsol) results for a relaxed ZnPbW crystal.

a b c (Å): 3.0241 3.0241 7.1460
angles (deg): 90.00 90.00 120.00
Atoms (fractional coordinates):
1 Zn 0.6667 0.3333 0.3609
2 W 0.3333 0.6667 0.6445
3 Pb 0.0000 0.0000 0.9947

## Properties
As for the total energy: -5.729 eV per atom. Its calculated volume is 56.6 Å³ per cell. Its space group is P3m1.

---

[3]
DFT (PBEsol) results for a relaxed Sc2CdRh crystal.

a b c (Å): 3.1487 3.1487 9.3817
angles (deg): 80.34 80.34 60.00
Last column: magnetic moment on the atom in μB.
Atoms (fractional coordinates):
1 Cd 0.5088 0.5088 0.4735  0.00
2 Sc 0.7520 0.7520 0.7439  0.29
3 Sc 0.9859 0.9859 0.0422  0.11
4 Rh 0.2532 0.2532 0.2404  0.04

## Properties
As for the total energy: -5.795 eV per atom. Its calculated volume is 79.0 Å³ per cell. Its space group is R3m.